Record 1
Compound: CsAsOsBr2
Source: the Alexandria database
Functional: PBE-GGA
Structure: optimized geometry

Properties
calculated volume	28.9	Å³/atom
raw total energy	-4.19	eV/atom
uncorrected formation energy	-0.18	eV/atom
total moment	0.25	μB/f.u.

Lattice parameters (Å, degrees): 5.561 5.561 4.680 90.00 90.00 90.00
Positions (direct):
Cs 0.000 0.000 0.000
As 0.500 0.500 0.000
Os 0.500 0.500 0.500
Br 0.000 0.500 0.500
Br 0.500 0.000 0.500

Record 2
Compound: CsAs2OsBr
Source: the Alexandria database
Functional: PBE-GGA
Structure: optimized geometry

Properties
calculated volume	38.7	Å³/atom
distance to the lowest polymorph of the same formula	2733	meV per atom
raw total energy	-1.90	eV/atom
uncorrected formation energy	2.71	eV/atom
total moment	0.00	μB/f.u.

Lattice parameters (Å, degrees): 5.700 5.700 5.961 90.00 90.00 90.00
Positions (direct):
Cs 0.000 0.000 0.000
As 0.000 0.500 0.000
As 0.500 0.000 0.000
Os 0.500 0.500 0.500
Br 0.000 0.000 0.500

Record 3
Compound: CsAs2PBr
Source: the Alexandria database
Functional: PBE-GGA
Structure: optimized geometry

Properties
calculated volume	52.2	Å³/atom
distance to the lowest polymorph of the same formula	1618	meV per atom
raw total energy	-1.85	eV/atom
uncorrected formation energy	1.59	eV/atom
total moment	6.63	μB/f.u.

Lattice parameters (Å, degrees): 6.228 6.228 6.725 90.00 90.00 90.00
Positions (direct):
Cs 0.000 0.000 0.000
As 0.000 0.500 0.000
As 0.500 0.000 0.000
P 0.500 0.500 0.500
Br 0.000 0.000 0.500